Entry from Alexandria: a relaxed structure of Ba2CoI (PBE).

Its energy above the most stable polymorph in this dataset is 0.0733 eV per atom. Its formation energy from raw total energies is -0.107 eV per atom.

The structure belongs to space group Fm-3m (No. 225); the cell edges are 8.272, 8.272 and 8.272 Å and the angles 90.00°, 90.00° and 90.00°. The distinct sites, in fractional coordinates, are Ba at (0.250, 0.250, 0.250), Co at (0.000, 0.000, 0.000) and I at (0.000, 0.000, 0.500).

Entry from Alexandria: a relaxed structure of KTlAs2 (PBE).

Its energy above the most stable polymorph in this dataset is 0.1624 eV per atom. The formation energy is -0.078 eV/atom.

The structure belongs to space group P4/mmm (No. 123); the cell edges are 4.401, 4.401 and 6.820 Å and the angles 90.00°, 90.00° and 90.00°. The distinct sites, in fractional coordinates, are K at (0.000, 0.000, 0.000), Tl at (0.000, 0.000, 0.500) and As at (0.500, 0.500, 0.331).

Entry from Alexandria: a relaxed structure of K3Nd2TmTe6 (PBE).

Its formation energy from raw total energies is -1.399 eV per atom.

The structure belongs to space group C2/m (No. 12); the cell edges are 7.908, 13.700 and 8.665 Å and the angles 90.00°, 107.74° and 90.00°. The distinct sites, in fractional coordinates, are K at (0.000, 0.000, 0.000), K at (0.000, 0.330, 0.000), Nd at (0.000, 0.166, 0.500), Tm at (0.000, 0.500, 0.500), Te at (0.232, 0.338, 0.711) and Te at (0.248, 0.000, 0.712).